1.
Here is a relaxed structure of Y5Cu3 from Alexandria. Energies are from PBE.

Cell lengths 6.401, 6.401, 4.893 Å; angles 90.00, 90.00, 106.88 degrees
Fractional positions:
Y1 0.000 0.000 0.000
Y2 0.000 0.500 0.000
Y3 0.288 0.288 0.500
Y4 0.500 0.000 0.000
Y5 0.712 0.712 0.500
Cu1 0.206 0.794 0.500
Cu2 0.500 0.500 0.000
Cu3 0.794 0.206 0.500

Calculated values
Symmetry: Cmmm
Size of the total moment in μB per cell: 0.00
Formation energy from the elements in meV per atom: -17

***

2.
Here is a relaxed structure of HoTm2Mn from Alexandria. Energies are from PBE.

Cell lengths 4.677, 4.677, 4.742 Å; angles 90.00, 90.00, 90.00 degrees
Fractional positions:
Ho1 0.000 0.000 0.000
Tm1 0.000 0.500 0.500
Tm2 0.500 0.000 0.500
Mn1 0.500 0.500 0.000

Calculated values
Symmetry: P4/mmm
Size of the total moment in μB per cell: 3.09
Formation energy from the elements in meV per atom: 215

***

3.
Here is a relaxed structure of TbYErPu from Alexandria. Energies are from PBE.

Cell lengths 5.582, 5.582, 5.582 Å; angles 60.00, 60.00, 60.00 degrees
Fractional positions:
Tb1 0.000 0.000 0.000
Y1 0.250 0.250 0.250
Er1 0.500 0.500 0.500
Pu1 0.750 0.750 0.750

Calculated values
Symmetry: F-43m
Size of the total moment in μB per cell: 7.17
Formation energy from the elements in meV per atom: 196

***

4.
Here is a relaxed structure of TaTiMn2 from Alexandria. Energies are from PBE.

Cell lengths 4.272, 4.272, 4.272 Å; angles 60.00, 60.00, 60.00 degrees
Fractional positions:
Ta1 0.000 0.000 0.000
Ti1 0.500 0.500 0.500
Mn1 0.250 0.250 0.250
Mn2 0.750 0.750 0.750

Calculated values
Symmetry: Fm-3m
Size of the total moment in μB per cell: 0.00
Formation energy from the elements in meV per atom: -270

***

5.
Here is a relaxed structure of Sr2DyMg from Alexandria. Energies are from PBE.

Cell lengths 4.369, 4.369, 8.069 Å; angles 90.00, 90.00, 90.00 degrees
Fractional positions:
Sr1 0.000 0.000 0.240
Sr2 0.000 0.000 0.760
Dy1 0.500 0.500 0.500
Mg1 0.500 0.500 0.000

Calculated values
Symmetry: P4/mmm
Size of the total moment in μB per cell: 0.00
Formation energy from the elements in meV per atom: 151

***

6.
Here is a relaxed structure of Ta2FeCoBi from Alexandria. Energies are from PBE.

Cell lengths 4.574, 4.574, 4.714 Å; angles 90.00, 90.00, 90.00 degrees
Fractional positions:
Ta1 0.000 0.500 0.000
Ta2 0.500 0.000 0.000
Fe1 0.000 0.000 0.000
Co1 0.500 0.500 0.500
Bi1 0.000 0.000 0.500

Calculated values
Symmetry: P4/mmm
Size of the total moment in μB per cell: 0.00
Formation energy from the elements in meV per atom: 1186

***

7.
Here is a relaxed structure of Ca2Ga3Cu4Ge from Alexandria. Energies are from PBE.

Cell lengths 4.172, 4.172, 10.333 Å; angles 90.00, 90.00, 90.00 degrees
Fractional positions:
Ca1 0.000 0.500 0.248
Ca2 0.500 0.000 0.752
Ga1 0.000 0.500 0.873
Ga2 0.500 0.000 0.127
Ga3 0.500 0.500 0.500
Cu1 0.000 0.000 0.000
Cu2 0.000 0.500 0.636
Cu3 0.500 0.000 0.364
Cu4 0.500 0.500 0.000
Ge1 0.000 0.000 0.500

Calculated values
Symmetry: P-4m2
Size of the total moment in μB per cell: 0.00
Formation energy from the elements in meV per atom: -311

***

8.
Here is a relaxed structure of K3Tl4Cd2 from Alexandria. Energies are from PBE.

Cell lengths 6.689, 6.689, 10.224 Å; angles 113.08, 113.08, 48.08 degrees
Fractional positions:
K1 0.000 0.000 0.000
K2 0.305 0.305 0.365
K3 0.695 0.695 0.635
Tl1 0.002 0.002 0.653
Tl2 0.278 0.278 0.934
Tl3 0.722 0.722 0.066
Tl4 0.998 0.998 0.347
Cd1 0.452 0.452 0.765
Cd2 0.548 0.548 0.235

Calculated values
Symmetry: C2/m
Size of the total moment in μB per cell: 0.00
Formation energy from the elements in meV per atom: -94

***

9.
Here is a relaxed structure of TbPr4NdHo2 from Alexandria. Energies are from PBE.

Cell lengths 6.312, 3.660, 11.999 Å; angles 90.00, 100.20, 90.00 degrees
Fractional positions:
Tb1 0.000 0.000 0.000
Pr1 0.250 0.500 0.250
Pr2 0.252 0.000 0.753
Pr3 0.748 0.000 0.247
Pr4 0.750 0.500 0.750
Nd1 0.000 0.500 0.500
Ho1 0.500 0.000 0.500
Ho2 0.500 0.500 0.000

Calculated values
Symmetry: P2/m
Size of the total moment in μB per cell: 0.00
Formation energy from the elements in meV per atom: 15

***

10.
Here is a relaxed structure of SrTl2CuCl5 from Alexandria. Energies are from PBE.

Cell lengths 9.522, 9.522, 13.708 Å; angles 90.00, 90.00, 154.29 degrees
Fractional positions:
Sr1 0.193 0.807 0.500
Sr2 0.807 0.193 0.000
Tl1 0.106 0.894 0.151
Tl2 0.122 0.878 0.812
Tl3 0.878 0.122 0.312
Tl4 0.894 0.106 0.651
Cu1 0.448 0.552 0.892
Cu2 0.552 0.448 0.392
Cl1 0.036 0.964 0.471
Cl2 0.297 0.703 0.142
Cl3 0.317 0.683 0.855
Cl4 0.348 0.652 0.485
Cl5 0.496 0.504 0.243
Cl6 0.504 0.496 0.743
Cl7 0.652 0.348 0.985
Cl8 0.683 0.317 0.355
Cl9 0.703 0.297 0.642
Cl10 0.964 0.036 0.971

Calculated values
Formation energy from raw total energies in meV/atom: -1360.8
Symmetry: Cmc2_1
Size of the total moment in μB per cell: 0.16

***

11.
Here is a relaxed structure of CdHg from Alexandria. Energies are from PBE.

Cell lengths 4.745, 4.745, 4.745 Å; angles 60.00, 60.00, 60.00 degrees
Fractional positions:
Cd1 0.000 0.000 0.000
Hg1 0.250 0.250 0.250

Calculated values
Symmetry: F-43m
Size of the total moment in μB per cell: 0.00
Formation energy from the elements in meV per atom: 208

***

12.
Here is a relaxed structure of ScCuBiMo2 from Alexandria. Energies are from PBE.

Cell lengths 5.129, 5.129, 4.687 Å; angles 90.00, 90.00, 90.00 degrees
Fractional positions:
Sc1 0.000 0.000 0.000
Cu1 0.500 0.500 0.000
Bi1 0.500 0.500 0.500
Mo1 0.000 0.500 0.500
Mo2 0.500 0.000 0.500

Calculated values
Symmetry: P4/mmm
Size of the total moment in μB per cell: 1.84
Formation energy from the elements in meV per atom: 1612

***

13.
Here is a relaxed structure of Ba3Sb from Alexandria. Energies are from PBE.

Cell lengths 5.550, 5.550, 5.550 Å; angles 90.00, 90.00, 90.00 degrees
Fractional positions:
Ba1 0.000 0.000 0.500
Ba2 0.000 0.500 0.000
Ba3 0.500 0.000 0.000
Sb1 0.500 0.500 0.500

Calculated values
Formation energy from raw total energies in meV/atom: -490.9
Symmetry: Pm-3m
Size of the total moment in μB per cell: 0.00